# GGA-PBE Tc2GeMo, relaxed
data_Tc2GeMo
_symmetry_space_group_name_H-M 'P 1'
_symmetry_Int_Tables_number 1
_symmetry_space_group_name_Hall 'P 1'
_cell_length_a 3.112
_cell_length_b 3.112
_cell_length_c 6.113
_cell_angle_alpha 90.00
_cell_angle_beta 90.00
_cell_angle_gamma 90.00
loop_
_atom_site_label
_atom_site_fract_x
_atom_site_fract_y
_atom_site_fract_z
_atom_site_occupancy
Tc1 0.000 0.000 0.243 1
Tc2 0.000 0.000 0.757 1
Ge1 0.500 0.500 0.000 1
Mo1 0.500 0.500 0.500 1
# Calculated total energy, eV per formula unit: -36.40
# DOS(E_F), states/eV/f.u.: 2.81
# Space-group type: P4/mmm
# Energy of formation, eV per formula unit: -0.217

***

# GGA-PBE Ag2RuSBr, relaxed
data_Ag2RuSBr
_symmetry_space_group_name_H-M 'P 1'
_symmetry_Int_Tables_number 1
_symmetry_space_group_name_Hall 'P 1'
_cell_length_a 5.300
_cell_length_b 5.300
_cell_length_c 4.543
_cell_angle_alpha 90.00
_cell_angle_beta 90.00
_cell_angle_gamma 90.00
loop_
_atom_site_label
_atom_site_fract_x
_atom_site_fract_y
_atom_site_fract_z
_atom_site_occupancy
Ag1 0.000 0.500 0.000 1
Ag2 0.500 0.000 0.000 1
Ru1 0.000 0.000 0.000 1
S1 0.500 0.500 0.500 1
Br1 0.000 0.000 0.500 1
# Calculated total energy, eV per formula unit: -15.57
# DOS(E_F), states/eV/f.u.: 5.43
# Space-group type: P4/mmm